[1]
Entry from Alexandria via LeMat-Bulk: a relaxed PuAu2Br6 crystal (PBE).

Structure (POSCAR):
```
PuAu2Br6
1.0
7.1033 -0.4543 -0.4398
1.6227 9.9698 -0.4866
1.6227 -0.1633 9.9803
Pu Au Br
2 4 12
Cartesian
3.3986 0.5391 9.0274
6.9502 8.8130 0.0264
3.4378 5.8649 5.6985
3.3594 3.6937 3.5966
6.9110 3.4872 3.3553
6.9894 5.6584 5.4573
5.2079 7.0119 4.4492
1.5893 4.9052 2.4097
5.1409 2.3402 4.6047
8.7595 4.4469 6.6442
8.1015 8.6604 2.4230
5.7988 6.4227 0.2566
2.2472 0.6917 6.6309
4.5499 2.9295 8.7973
3.6794 8.0309 9.0353
3.1177 0.2885 1.5398
6.6694 1.3212 0.0186
7.2310 9.0636 7.5140
```

Total moment   8.027 μB/cell
Space group   C2/c (15)
ΔE_f (raw)   -0.74 eV/atom
Uncorrected energy   -4.17 eV per atom
Fermi-level density of states   26.694 states/eV/cell

[2]
Entry from Alexandria via LeMat-Bulk: a relaxed TaBeB crystal (PBE).

Structure (POSCAR):
```
TaBeB
1.0
3.3442 -0.0057 0.0058
0.1745 4.6167 -0.0047
1.6392 1.8989 4.0549
Be B Ta
2 2 2
Cartesian
1.8538 5.3369 3.9413
3.3042 1.1730 0.1147
1.6458 1.9936 0.8240
3.5122 4.5163 3.2320
1.7972 4.3582 1.5877
3.3607 2.1518 2.4683
```

Total moment   0.000 μB/cell
Energy of formation from the pure elements   -1.2 eV per formula unit
Energy above the lowest structure with this stoichiometry   283 meV/atom
Space group   P-1 (2)
Uncorrected energy   -7.82 eV per atom
Fermi-level density of states   1.272 states/eV/cell